First-principles (PBE) data for K4NaTh3Te8 after structural relaxation, as listed in Alexandria via LeMat-Bulk.

Cell: 9.226 9.800 9.228 Å, 118.10 119.99 90.00°
Fractional coordinates of all 16 atoms:
Te  0.273  0.287  0.030
Te  0.243  0.713  0.486
Te  0.757  0.287  0.030
Te  0.243  0.713  0.970
Te  0.727  0.713  0.970
Te  0.739  0.717  0.478
Te  0.261  0.283  0.522
Te  0.757  0.287  0.514
K  0.000  0.000  0.500
K  0.500  0.000  0.500
K  0.500  0.000  0.000
K  0.000  0.000  0.000
Th  0.500  0.500  0.500
Th  0.000  0.500  0.500
Th  0.500  0.500  0.000
Na  0.000  0.500  0.000

Properties
- mass density (Mg/m³) = 5.193
- magnetic moment (μB/cell) = 0.00
- final energy (Ha/atom) = -0.1659
- SG = No. 166
- DOS(E_F) (states/eV/f.u.) = 6.7